(1)
The following is a GGA-PBE calculation of HfAgBi3 after structural relaxation, from Alexandria via LeMat-Bulk.

a b c (Å): 5.4186 5.4186 5.4186
angles (deg): 90.00 90.00 90.00
Closest atoms and distances in Å follow each position.
Fractional coordinates of all 5 atoms:
1 Hf 0.0000 0.0000 0.0000  12 Bi 3.83
2 Ag 0.5000 0.5000 0.5000  6 Bi 2.71
3 Bi 0.0000 0.5000 0.5000  2 Ag 2.71
4 Bi 0.5000 0.0000 0.5000  2 Ag 2.71
5 Bi 0.5000 0.5000 0.0000  2 Ag 2.71

Calculated values
**Polymorph energy (0 for the lowest one)**: 0.383 eV per atom
**Formation energy**: 868 meV/atom
**Magnetic moment**: 0.0 μB per formula unit

(2)
The following is a GGA-PBE calculation of HfAgBi2 after structural relaxation, from Alexandria via LeMat-Bulk.

a b c (Å): 3.8745 3.8745 6.5766
angles (deg): 90.00 90.00 90.00
Closest atoms and distances in Å follow each position.
Fractional coordinates of all 4 atoms:
1 Hf 0.0000 0.0000 0.0000  8 Bi 3.17, 2 Ag 3.29
2 Ag 0.0000 0.0000 0.5000  8 Bi 3.22, 2 Hf 3.29
3 Bi 0.5000 0.5000 0.2438  4 Hf 3.17, 2 Bi 3.21-3.37, 4 Ag 3.22
4 Bi 0.5000 0.5000 0.7562  4 Hf 3.17, 2 Bi 3.21-3.37, 4 Ag 3.22

Calculated values
**Formation energy**: 45 meV/atom
**Magnetic moment**: 0.0 μB per formula unit

(3)
The following is a GGA-PBE calculation of HfAgBi2 after structural relaxation, from Alexandria via LeMat-Bulk.

a b c (Å): 5.2221 5.2221 5.2221
angles (deg): 60.00 60.00 60.00
Closest atoms and distances in Å follow each position.
Fractional coordinates of all 4 atoms:
1 Hf 0.0000 0.0000 0.0000  8 Bi 3.20
2 Ag 0.5000 0.5000 0.5000  8 Bi 3.20
3 Bi 0.2500 0.2500 0.2500  4 Hf 3.20, 4 Ag 3.20
4 Bi 0.7500 0.7500 0.7500  4 Hf 3.20, 4 Ag 3.20

Calculated values
**Formation energy**: 216 meV/atom
**Magnetic moment**: 0.0 μB per formula unit

(4)
The following is a GGA-PBE calculation of HfAg2Bi2 after structural relaxation, from Alexandria via LeMat-Bulk.

a b c (Å): 7.6986 7.6986 4.0174
angles (deg): 90.00 90.00 90.00
Closest atoms and distances in Å follow each position.
Fractional coordinates of all 10 atoms:
1 Hf 0.0000 0.0000 0.0000  4 Ag 3.04
2 Hf 0.5000 0.5000 0.0000  4 Ag 3.04
3 Ag 0.1250 0.3750 0.0000  1 Ag 2.72, 2 Bi 2.92, 2 Hf 3.04
4 Ag 0.3750 0.8750 0.0000  1 Ag 2.72, 2 Bi 2.92, 2 Hf 3.04
5 Ag 0.6250 0.1250 0.0000  1 Ag 2.72, 2 Bi 2.92, 2 Hf 3.04
6 Ag 0.8750 0.6250 0.0000  1 Ag 2.72, 2 Bi 2.92, 2 Hf 3.04
7 Bi 0.1809 0.6809 0.5000  6 Ag 2.92-3.13
8 Bi 0.3191 0.1809 0.5000  6 Ag 2.92-3.13
9 Bi 0.6809 0.8191 0.5000  6 Ag 2.92-3.13
10 Bi 0.8191 0.3191 0.5000  6 Ag 2.92-3.13

Calculated values
**Formation energy**: 200 meV/atom
**Magnetic moment**: 0.0 μB per formula unit

(5)
The following is a GGA-PBE calculation of HfAgBi after structural relaxation, from Alexandria via LeMat-Bulk.

a b c (Å): 3.8242 3.8242 9.4354
angles (deg): 90.04 90.04 90.00
Closest atoms and distances in Å follow each position.
Fractional coordinates of all 6 atoms:
1 Hf 0.2502 0.2502 0.0802  4 Hf 3.10, 5 Bi 3.14-3.16, 1 Ag 3.23
2 Hf 0.7498 0.7498 0.9198  4 Hf 3.10, 5 Bi 3.14-3.16, 1 Ag 3.23
3 Ag 0.2505 0.2505 0.4229  5 Bi 3.06-3.15, 4 Ag 3.06-3.08, 1 Hf 3.23
4 Ag 0.7495 0.7495 0.5771  5 Bi 3.06-3.15, 4 Ag 3.06-3.08, 1 Hf 3.23
5 Bi 0.2493 0.2493 0.7469  5 Ag 3.06-3.15, 5 Hf 3.14-3.16
6 Bi 0.7507 0.7507 0.2531  5 Ag 3.06-3.15, 5 Hf 3.14-3.16

Calculated values
**Formation energy**: 9 meV/atom
**Magnetic moment**: 0.0 μB per formula unit

(6)
The following is a GGA-PBE calculation of HfAgBi2 after structural relaxation, from Alexandria via LeMat-Bulk.

a b c (Å): 10.5259 10.5259 10.5259
angles (deg): 19.03 19.03 19.03
Closest atoms and distances in Å follow each position.
Fractional coordinates of all 4 atoms:
1 Hf 0.0000 0.0000 0.0000  6 Bi 3.07
2 Ag 0.5000 0.5000 0.5000  2 Bi 2.84
3 Bi 0.4084 0.4084 0.4084  1 Ag 2.84, 3 Hf 3.07
4 Bi 0.5916 0.5916 0.5916  1 Ag 2.84, 3 Hf 3.07

Calculated values
**Formation energy**: 119 meV/atom
**Magnetic moment**: 0.0 μB per formula unit

(7)
The following is a GGA-PBE calculation of KHf2AgBi after structural relaxation, from Alexandria via LeMat-Bulk.

a b c (Å): 4.9474 4.9474 5.6649
angles (deg): 90.00 90.00 90.00
Closest atoms and distances in Å follow each position.
Fractional coordinates of all 5 atoms:
1 K 0.0000 0.0000 0.0000  4 Hf 2.47
2 Hf 0.0000 0.5000 0.0000  2 K 2.47
3 Hf 0.5000 0.0000 0.0000  2 K 2.47
4 Ag 0.5000 0.5000 0.5000  4 Bi 3.50, 8 Hf 3.76
5 Bi 0.0000 0.0000 0.5000  2 K 2.83

Calculated values
**Formation energy**: 2002 meV/atom
**Magnetic moment**: 0.0 μB per formula unit

(8)
The following is a GGA-PBE calculation of LiHfAgBi2 after structural relaxation, from Alexandria via LeMat-Bulk.

a b c (Å): 5.1686 5.1686 4.4217
angles (deg): 90.00 90.00 90.00
Closest atoms and distances in Å follow each position.
Fractional coordinates of all 5 atoms:
1 Li 0.0000 0.0000 0.0000  2 Ag 2.21
2 Hf 0.5000 0.5000 0.5000  8 Bi 3.40, 4 Ag 3.65
3 Ag 0.0000 0.0000 0.5000  2 Li 2.21
4 Bi 0.0000 0.5000 0.0000  2 Li 2.58
5 Bi 0.5000 0.0000 0.0000  2 Li 2.58

Calculated values
**Formation energy**: 408 meV/atom
**Magnetic moment**: 0.0 μB per formula unit